A geometry-optimized CaPmTh structure, computed with PBE.

a b c (Å): 19.1019 19.1019 19.1019
angles (deg): 10.85 10.85 10.85
Sites, in units of the cell vectors:
Ca: 0.1948 0.1948 0.1948
Ca: 0.8052 0.8052 0.8052
Pm: 0.2562 0.2562 0.2562
Pm: 0.7438 0.7438 0.7438
Th: 0.3591 0.3591 0.3591
Th: 0.6409 0.6409 0.6409

Computed properties:
The formation energy comes out at 0.13 eV/atom.



A geometry-optimized SiTe2 structure, computed with PBE.

a b c (Å): 6.6779 6.6779 6.5324
angles (deg): 90.00 90.00 120.00
Sites, in units of the cell vectors:
Si: 0.0000 0.0000 0.0000
Si: 0.3333 0.6667 0.5000
Si: 0.6667 0.3333 0.5000
Te: 0.0000 0.3614 0.2428
Te: 0.0000 0.6386 0.7572
Te: 0.3614 0.0000 0.2428
Te: 0.3614 0.3614 0.7572
Te: 0.6386 0.0000 0.7572
Te: 0.6386 0.6386 0.2428

Computed properties:
The calculation puts the raw formation energy at 0.235 eV per atom.



A geometry-optimized Sc2SI structure, computed with PBE.

a b c (Å): 8.1973 8.1973 8.1973
angles (deg): 27.77 27.77 27.77
Sites, in units of the cell vectors:
Sc: 0.1180 0.1180 0.1180
Sc: 0.8820 0.8820 0.8820
S: 0.5000 0.5000 0.5000
I: 0.0000 0.0000 0.0000

Computed properties:
The calculation puts the raw formation energy at -1.091 eV per atom.



Number 1: E -27.6 eV/cell. Number 2: E -33.0 eV/cell. Number 3: E -22.7 eV/cell.